1.
Entry from Alexandria via LeMat-Bulk: crystalline La3Dy4Ho2 at its relaxed geometry (PBE-GGA).

Unit cell a=6.525 b=6.525 c=9.153 alpha=100.64 beta=100.64 gamma=52.49
Fractional positions:
La (0.000, 0.000, 0.000)
La (0.128, 0.128, 0.691)
La (0.872, 0.872, 0.309)
Dy (0.226, 0.226, 0.370)
Dy (0.323, 0.323, 0.039)
Dy (0.677, 0.677, 0.961)
Dy (0.774, 0.774, 0.630)
Ho (0.440, 0.440, 0.693)
Ho (0.560, 0.560, 0.307)

Values from the calculation:
The total magnetic moment comes out at 0.0 Bohr magnetons per cell. As for the total energy: -4.599 eV/atom. As for the space group: C2/m.


2.
Entry from Alexandria via LeMat-Bulk: crystalline Co2NiSe at its relaxed geometry (PBE-GGA).

Unit cell a=2.833 b=3.652 c=5.052 alpha=90.00 beta=106.13 gamma=90.00
Fractional positions:
Co (0.000, 0.000, 0.000)
Co (0.393, 0.500, 0.784)
Ni (0.642, 0.500, 0.285)
Se (0.241, 0.000, 0.484)

Values from the calculation:
The total magnetic moment comes out at 3.0 Bohr magnetons per cell. As for the total energy: -5.658 eV/atom. As for the space group: Pm. The value obtained for the uncorrected formation energy is 0.21 eV/atom.


3.
Entry from Alexandria via LeMat-Bulk: crystalline KScAs2Se at its relaxed geometry (PBE-GGA).

Unit cell a=5.194 b=5.194 c=5.306 alpha=90.00 beta=90.00 gamma=90.00
Fractional positions:
K (0.000, 0.000, 0.000)
Sc (0.500, 0.500, 0.500)
As (0.000, 0.500, 0.500)
As (0.500, 0.000, 0.500)
Se (0.500, 0.500, 0.000)

Values from the calculation:
The total magnetic moment comes out at 0.0 Bohr magnetons per cell. As for the total energy: -4.503 eV/atom. As for the space group: P4/mmm. The value obtained for the uncorrected formation energy is -0.46 eV/atom.


4.
Entry from Alexandria via LeMat-Bulk: crystalline PrSm4Co at its relaxed geometry (PBE-GGA).

Unit cell a=9.606 b=9.606 c=5.966 alpha=108.07 beta=108.07 gamma=45.35
Fractional positions:
Pr (0.197, 0.197, 0.198)
Pr (0.803, 0.803, 0.802)
Sm (0.132, 0.634, 0.382)
Sm (0.233, 0.767, 0.000)
Sm (0.327, 0.327, 0.828)
Sm (0.366, 0.868, 0.618)
Sm (0.634, 0.132, 0.382)
Sm (0.673, 0.673, 0.172)
Sm (0.767, 0.233, 0.000)
Sm (0.868, 0.366, 0.618)
Co (0.499, 0.499, 0.312)
Co (0.501, 0.501, 0.688)

Values from the calculation:
The total magnetic moment comes out at 0.0 Bohr magnetons per cell. As for the total energy: -5.126 eV/atom. As for the space group: C2/m.


5.
Entry from Alexandria via LeMat-Bulk: crystalline NaVSN2 at its relaxed geometry (PBE-GGA).

Unit cell a=3.821 b=3.821 c=4.847 alpha=90.00 beta=90.00 gamma=90.00
Fractional positions:
Na (0.000, 0.000, 0.000)
V (0.500, 0.500, 0.500)
S (0.500, 0.500, 0.000)
N (0.000, 0.500, 0.500)
N (0.500, 0.000, 0.500)

Values from the calculation:
The total magnetic moment comes out at 1.3 Bohr magnetons per cell. As for the total energy: -6.250 eV/atom. As for the space group: P4/mmm. The value obtained for the uncorrected formation energy is -0.01 eV/atom.


6.
Entry from Alexandria via LeMat-Bulk: crystalline MnInBr at its relaxed geometry (PBE-GGA).

Unit cell a=6.838 b=6.838 c=6.838 alpha=151.53 beta=151.53 gamma=40.70
Fractional positions:
Mn (0.000, 0.000, 0.000)
In (0.360, 0.360, 0.000)
Br (0.618, 0.618, 0.000)

Values from the calculation:
The total magnetic moment comes out at 4.2 Bohr magnetons per cell. As for the total energy: -4.473 eV/atom. As for the space group: I4mm. The value obtained for the uncorrected formation energy is 0.05 eV/atom.


7.
Entry from Alexandria via LeMat-Bulk: crystalline Ir3Au at its relaxed geometry (PBE-GGA).

Unit cell a=5.555 b=5.555 c=4.616 alpha=90.00 beta=90.00 gamma=120.00
Fractional positions:
Ir (0.164, 0.328, 0.250)
Ir (0.164, 0.836, 0.250)
Ir (0.328, 0.164, 0.750)
Ir (0.672, 0.836, 0.250)
Ir (0.836, 0.164, 0.750)
Ir (0.836, 0.672, 0.750)
Au (0.333, 0.667, 0.750)
Au (0.667, 0.333, 0.250)

Values from the calculation:
The total magnetic moment comes out at 0.0 Bohr magnetons per cell. As for the total energy: -7.009 eV/atom. As for the space group: P6_3/mmc.


8.
Entry from Alexandria via LeMat-Bulk: crystalline SrGePbCl2 at its relaxed geometry (PBE-GGA).

Unit cell a=5.346 b=5.346 c=6.514 alpha=90.00 beta=90.00 gamma=90.00
Fractional positions:
Sr (0.000, 0.000, 0.000)
Ge (0.000, 0.000, 0.500)
Pb (0.500, 0.500, 0.500)
Cl (0.000, 0.500, 0.000)
Cl (0.500, 0.000, 0.000)

Values from the calculation:
The total magnetic moment comes out at 0.0 Bohr magnetons per cell. As for the total energy: -3.338 eV/atom. As for the space group: P4/mmm. The value obtained for the uncorrected formation energy is -0.60 eV/atom.


What is the total magnetic moment in the first record? 0.0 Bohr magnetons per cell


Look up the total magnetic moment of the eighth one. 0.0 Bohr magnetons per cell


What is the total magnetic moment in the seventh record? 0.0 Bohr magnetons per cell


total energy of number 6 (MnInBr)? -4.473 eV/atom